An optimized crystal structure of In2AgW, computed with PBEsol.

abc: 5.5680 5.5680 5.0465
angles: 111.37 111.37 30.57
Last column: nearest neighbours and their distance in Å.
Sites, in units of the cell vectors:
In 0.0000 0.0000 0.0000  3 Ag 2.84-3.00, 4 W 2.86-2.99, 3 In 2.94-3.04
In 0.2310 0.2310 0.5796  3 W 2.91, 4 Ag 2.92-2.94, 5 In 2.94-3.22
Ag 0.7567 0.7567 0.0981  7 In 2.84-3.00, 2 W 2.93, 2 Ag 2.94
W 0.4860 0.4860 0.5035  7 In 2.86-2.99, 2 Ag 2.93, 2 W 2.94

## Properties
* space group: Cm
* ΔE to the lowest computed polymorph: 0.000 eV/atom
* total magnetization: 0.00 Bohr magnetons per cell
* ΔH_f (0 K): 0.37 eV/atom

---

An optimized crystal structure of Sc2AgSb, computed with PBEsol.

abc: 5.7203 5.7203 5.7203
angles: 138.10 138.10 60.75
Last column: nearest neighbours and their distance in Å.
Sites, in units of the cell vectors:
Sc 0.0000 0.0000 0.0000  4 Ag 2.89, 4 Sb 3.21, 4 Sc 3.21
Sc 0.7500 0.2500 0.5000  4 Sb 2.89, 4 Sc 3.21, 4 Ag 3.21
Ag 0.5000 0.5000 0.0000  8 Sc 2.89-3.21, 4 Sb 3.21
Sb 0.2500 0.7500 0.5000  8 Sc 2.89-3.21, 4 Ag 3.21

## Properties
* space group: I-4m2
* total magnetization: 0.00 Bohr magnetons per cell
* formation energy without anion corrections: -531 meV/atom

---

An optimized crystal structure of Nb3HgP, computed with PBEsol.

abc: 4.5954 4.5954 4.5954
angles: 90.00 90.00 90.00
Last column: nearest neighbours and their distance in Å.
Sites, in units of the cell vectors:
Nb 0.0000 0.0000 0.5000  2 P 2.30
Nb 0.0000 0.5000 0.0000  2 P 2.30
Nb 0.5000 0.0000 0.0000  2 P 2.30
Hg 0.5000 0.5000 0.5000  12 Nb 3.25
P 0.0000 0.0000 0.0000  6 Nb 2.30

## Properties
* space group: Pm-3m
* total magnetization: 0.00 Bohr magnetons per cell
* ΔH_f (0 K): 0.23 eV/atom

---

An optimized crystal structure of CoCuSe2N, computed with PBEsol.

abc: 4.8652 4.8652 3.4075
angles: 90.00 90.00 90.00
Last column: nearest neighbours and their distance in Å.
Sites, in units of the cell vectors:
Co 0.0000 0.0000 0.0000  8 Se 2.97
Cu 0.5000 0.5000 0.5000  2 N 1.70
Se 0.0000 0.5000 0.5000  2 Cu 2.43
Se 0.5000 0.0000 0.5000  2 Cu 2.43
N 0.5000 0.5000 0.0000  2 Cu 1.70

## Properties
* space group: P4/mmm
* total magnetization: 2.98 Bohr magnetons per cell
* formation energy without anion corrections: 1121 meV/atom

---

An optimized crystal structure of KAsHBr2, computed with PBEsol.

abc: 6.1158 6.1158 6.8826
angles: 90.00 90.00 90.00
Last column: nearest neighbours and their distance in Å.
Sites, in units of the cell vectors:
K 0.0000 0.0000 0.0000  4 Br 3.06
As 0.0000 0.0000 0.5000  2 K 3.44
H 0.5000 0.5000 0.5000  4 As 4.32, 8 Br 4.60
Br 0.0000 0.5000 0.0000  2 K 3.06
Br 0.5000 0.0000 0.0000  2 K 3.06

## Properties
* calculated total energy: -1.88 eV per atom
* space group: P4/mmm
* total magnetization: 4.43 Bohr magnetons per cell

---

An optimized crystal structure of LiLaTa2, computed with PBEsol.

abc: 4.6987 6.2872 6.2872
angles: 26.59 90.00 90.00
Last column: nearest neighbours and their distance in Å.
Sites, in units of the cell vectors:
Li 0.0000 0.0000 0.0000  4 Ta 2.86-2.91, 2 Li 2.89, 4 La 3.14
La 0.5000 0.3782 0.3782  2 La 2.89, 1 Ta 3.00, 4 Li 3.14
Ta 0.0000 0.7065 0.7065  6 Ta 2.89-2.90, 2 Li 2.91
Ta 0.5000 0.1331 0.1331  2 Li 2.86, 6 Ta 2.89-2.90, 1 La 3.00

## Properties
* space group: Amm2
* ΔE to the lowest computed polymorph: 0.143 eV/atom
* total magnetization: 0.00 Bohr magnetons per cell
* ΔH_f (0 K): 0.49 eV/atom

---

An optimized crystal structure of ReHgAs2, computed with PBEsol.

abc: 4.6164 4.6164 4.6164
angles: 60.00 60.00 60.00
Last column: nearest neighbours and their distance in Å.
Sites, in units of the cell vectors:
Re 0.0000 0.0000 0.0000  4 Hg 2.83, 4 As 2.83
Hg 0.7500 0.7500 0.7500  4 As 2.83, 4 Re 2.83
As 0.2500 0.2500 0.2500  4 As 2.83, 4 Re 2.83
As 0.5000 0.5000 0.5000  4 As 2.83, 4 Hg 2.83

## Properties
* space group: F-43m
* total magnetization: 0.00 Bohr magnetons per cell
* ΔH_f (0 K): 0.95 eV/atom

---

An optimized crystal structure of SrRe3Pt, computed with PBEsol.

abc: 4.8059 4.8059 4.8059
angles: 90.00 90.00 90.00
Last column: nearest neighbours and their distance in Å.
Sites, in units of the cell vectors:
Sr 0.0000 0.0000 0.0000  12 Re 3.40
Re 0.0000 0.5000 0.5000  2 Pt 2.40
Re 0.5000 0.0000 0.5000  2 Pt 2.40
Re 0.5000 0.5000 0.0000  2 Pt 2.40
Pt 0.5000 0.5000 0.5000  6 Re 2.40

## Properties
* space group: Pm-3m
* total magnetization: 0.00 Bohr magnetons per cell
* ΔH_f (0 K): 2.04 eV/atom